Record 1
# ScSiAs

A crystal of ScSiAs relaxed with PBEsol (SCAN, the Alexandria database).

raw formation energy: -3.44 kcal/mol of atoms
raw total energy: -44.89 eV per formula unit
size of the total moment: 0.0 μB per cell
space group: P3m1

Cell: 3.4814 3.4814 5.4507 Å, 90.00 90.00 120.00°
Last column: nearest neighbours and their distance in Å.
Atoms (fractional coordinates):
Sc: 0.0000 0.0000 0.0000  3 As 2.79, 3 Si 2.87
Si: 0.6667 0.3333 0.6235  3 As 2.49
As: 0.3333 0.6667 0.3550  3 Si 2.49

Record 2
# Ti3V2NiP6O24

A crystal of Ti3V2NiP6O24 relaxed with PBEsol (SCAN, the Alexandria database).

raw formation energy: -61.13 kcal/mol of atoms
raw total energy: -406.61 eV per formula unit
size of the total moment: 8.0 μB per cell
space group: R3

Cell: 8.3574 8.3574 8.3574 Å, 61.70 61.70 61.70°
Last column: nearest neighbours and their distance in Å.
Atoms (fractional coordinates):
Ti: 0.0000 0.0000 0.0000  6 O 1.91-2.03
Ti: 0.2166 0.2166 0.2166  6 O 1.88-2.01
Ti: 0.5030 0.5030 0.5030  6 O 1.87-2.05
V: 0.3589 0.3589 0.3589  6 O 2.11-2.12
V: 0.8606 0.8606 0.8606  6 O 2.09-2.11
Ni: 0.7210 0.7210 0.7210  6 O 1.95-2.06
P: 0.1088 0.8146 0.4047  4 O 1.53-1.56
P: 0.3223 0.6114 0.9045  4 O 1.49-1.57
P: 0.4047 0.1088 0.8146  4 O 1.53-1.56
P: 0.6114 0.9045 0.3223  4 O 1.49-1.57
P: 0.8146 0.4047 0.1088  4 O 1.53-1.56
P: 0.9045 0.3223 0.6114  4 O 1.49-1.57
O: 0.0390 0.8586 0.2441  1 P 1.53
O: 0.1064 0.2936 0.4523  1 P 1.57
O: 0.1187 0.7680 0.9130  1 P 1.57
O: 0.1924 0.9704 0.3467  1 P 1.54
O: 0.2441 0.0390 0.8586  1 P 1.53
O: 0.2683 0.6140 0.4177  1 P 1.56
O: 0.2936 0.4523 0.1064  1 P 1.57
O: 0.3467 0.1924 0.9704  1 P 1.54
O: 0.3682 0.5380 0.7442  1 P 1.54
O: 0.4177 0.2683 0.6140  1 P 1.56
O: 0.4523 0.1064 0.2936  1 P 1.57
O: 0.4741 0.6781 0.8745  1 P 1.49
O: 0.5380 0.7442 0.3682  1 P 1.54
O: 0.6026 0.9563 0.8103  1 P 1.53
O: 0.6140 0.4177 0.2683  1 P 1.56
O: 0.6781 0.8745 0.4741  1 P 1.49
O: 0.7442 0.3682 0.5380  1 P 1.54
O: 0.7680 0.9130 0.1187  1 P 1.57
O: 0.8103 0.6026 0.9563  1 P 1.53
O: 0.8586 0.2441 0.0390  1 P 1.53
O: 0.8745 0.4741 0.6781  1 P 1.49
O: 0.9130 0.1187 0.7680  1 P 1.57
O: 0.9563 0.8103 0.6026  1 P 1.53
O: 0.9704 0.3467 0.1924  1 P 1.54

Record 3
# CsNaHfIn2

A crystal of CsNaHfIn2 relaxed with PBEsol (SCAN, the Alexandria database).

raw total energy: -163.40 eV per formula unit
size of the total moment: 1.3 μB per cell
space group: P4/mmm
energy relative to the elements: 1.614 eV per atom

Cell: 5.9046 5.9046 5.2957 Å, 90.00 90.00 90.00°
Last column: nearest neighbours and their distance in Å.
Atoms (fractional coordinates):
Cs: 0.0000 0.0000 0.0000  2 Na 2.65, 4 In 2.95
Na: 0.0000 0.0000 0.5000  2 Cs 2.65
Hf: 0.5000 0.5000 0.5000  8 In 3.97, 4 Na 4.18
In: 0.0000 0.5000 0.0000  2 Cs 2.95
In: 0.5000 0.0000 0.0000  2 Cs 2.95

Record 4
# InPSe2

A crystal of InPSe2 relaxed with PBEsol (SCAN, the Alexandria database).

raw formation energy: 2.45 kcal/mol of atoms
raw total energy: -83.52 eV per formula unit
size of the total moment: 0.0 μB per cell
energy above the lowest structure with this stoichiometry: 0.085 eV/atom
space group: P4mm

Cell: 3.6183 3.6183 7.5880 Å, 90.00 90.00 90.00°
Last column: nearest neighbours and their distance in Å.
Atoms (fractional coordinates):
In: 0.0000 0.0000 0.0000  5 Se 2.70-2.72
P: 0.5000 0.5000 0.4138  4 Se 2.60
Se: 0.0000 0.0000 0.3554  4 P 2.60, 1 In 2.70
Se: 0.5000 0.5000 0.8773  4 In 2.72

Record 5
# LaTl4Se

A crystal of LaTl4Se relaxed with PBEsol (SCAN, the Alexandria database).

raw formation energy: -3.60 kcal/mol of atoms
raw total energy: -353.55 eV per formula unit
size of the total moment: 0.0 μB per cell
space group: F-43m

Cell: 6.1666 6.1666 6.1666 Å, 60.00 60.00 60.00°
Last column: nearest neighbours and their distance in Å.
Atoms (fractional coordinates):
La: 0.0000 0.0000 0.0000  12 Tl 3.62, 4 Se 3.78
Tl: 0.3752 0.3752 0.3752  6 Tl 3.08-3.09
Tl: 0.3752 0.3752 0.8744  6 Tl 3.08-3.09
Tl: 0.3752 0.8744 0.3752  6 Tl 3.08-3.09
Tl: 0.8744 0.3752 0.3752  6 Tl 3.08-3.09
Se: 0.7500 0.7500 0.7500  12 Tl 3.61, 4 La 3.78

Record 6
# LiRh3

A crystal of LiRh3 relaxed with PBEsol (SCAN, the Alexandria database).

raw total energy: -104.06 eV per formula unit
size of the total moment: 0.0 μB per cell
space group: C2/m
energy relative to the elements: -0.090 eV per atom

Cell: 8.7781 2.6558 4.5386 Å, 90.00 98.53 90.00°
Last column: nearest neighbours and their distance in Å.
Atoms (fractional coordinates):
Li: 0.0000 0.0000 0.0000  10 Rh 2.56-2.72, 2 Li 2.66
Li: 0.5000 0.5000 0.0000  10 Rh 2.56-2.72, 2 Li 2.66
Rh: 0.0000 0.5000 0.5000  8 Rh 2.62-2.67, 4 Li 2.63
Rh: 0.2428 0.0000 0.7487  3 Li 2.56-2.72, 9 Rh 2.62-2.67
Rh: 0.2572 0.5000 0.2513  3 Li 2.56-2.72, 9 Rh 2.62-2.67
Rh: 0.5000 0.0000 0.5000  8 Rh 2.62-2.67, 4 Li 2.63
Rh: 0.7428 0.5000 0.7487  3 Li 2.56-2.72, 9 Rh 2.62-2.67
Rh: 0.7572 0.0000 0.2513  3 Li 2.56-2.72, 9 Rh 2.62-2.67

Record 7
# ScOsRu

A crystal of ScOsRu relaxed with PBEsol (SCAN, the Alexandria database).

raw total energy: -120.46 eV per formula unit
size of the total moment: 0.0 μB per cell
space group: P3m1
energy relative to the elements: 0.160 eV per atom

Cell: 2.8463 2.8463 6.6189 Å, 90.00 90.00 120.00°
Last column: nearest neighbours and their distance in Å.
Atoms (fractional coordinates):
Sc: 0.0000 0.0000 0.0000  3 Ru 2.80, 3 Os 2.84, 6 Sc 2.85
Os: 0.3333 0.6667 0.6498  3 Ru 2.62, 3 Sc 2.84, 6 Os 2.85
Ru: 0.6667 0.3333 0.3419  3 Os 2.62, 3 Sc 2.80, 6 Ru 2.85

Record 8
# SbAs2W

A crystal of SbAs2W relaxed with PBEsol (SCAN, the Alexandria database).

raw formation energy: 11.10 kcal/mol of atoms
raw total energy: -145.40 eV per formula unit
size of the total moment: 0.0 μB per cell
space group: Amm2

Cell: 4.4596 3.4183 9.8355 Å, 90.00 90.00 90.00°
Last column: nearest neighbours and their distance in Å.
Atoms (fractional coordinates):
Sb: 0.0000 0.0000 0.0000  3 As 2.63-2.86
Sb: 0.0000 0.5000 0.5000  3 As 2.63-2.86
As: 0.0000 0.0000 0.2672  2 W 2.62, 3 Sb 2.63-2.86, 4 As 2.88
As: 0.0000 0.5000 0.7672  2 W 2.62, 3 Sb 2.63-2.86, 4 As 2.88
As: 0.5000 0.0000 0.7024  3 W 2.65-2.90, 4 As 2.88
As: 0.5000 0.5000 0.2024  3 W 2.65-2.90, 4 As 2.88
W: 0.5000 0.0000 0.4080  5 As 2.62-2.90
W: 0.5000 0.5000 0.9080  5 As 2.62-2.90